The following is a PBE calculation of a relaxed structure of In2CuHgBi, from the Alexandria database.

Calculated values
For the excess energy over the best structure of this formula in the dataset, the calculation gives 2.5 kJ per mole of atoms. The space group is P4/mmm. The formation energy is 0.197 eV/atom.

a = 5.2325 Å, b = 5.2325 Å, c = 4.9847 Å
α = 90.00°, β = 90.00°, γ = 90.00°
Closest atoms and distances in Å follow each position.
Element x y z (fractional)
In1 0.0000 0.5000 0.0000  2 Cu 2.62
In2 0.5000 0.0000 0.0000  2 Cu 2.62
Cu1 0.0000 0.0000 0.0000  2 Hg 2.49, 4 In 2.62
Hg1 0.0000 0.0000 0.5000  2 Cu 2.49
Bi1 0.5000 0.5000 0.5000  8 In 3.61, 4 Hg 3.70

The following is a PBE calculation of a relaxed structure of HfNbCrOs2, from the Alexandria database.

Calculated values
The space group is P4/mmm. The formation energy is 1.384 eV/atom.

a = 4.7583 Å, b = 4.7583 Å, c = 4.4455 Å
α = 90.00°, β = 90.00°, γ = 90.00°
Closest atoms and distances in Å follow each position.
Element x y z (fractional)
Hf1 0.0000 0.0000 0.0000  8 Os 3.26, 4 Cr 3.36
Nb1 0.5000 0.5000 0.5000  2 Cr 2.22, 4 Os 2.38
Cr1 0.5000 0.5000 0.0000  2 Nb 2.22
Os1 0.0000 0.5000 0.5000  2 Nb 2.38
Os2 0.5000 0.0000 0.5000  2 Nb 2.38

The following is a PBE calculation of a relaxed structure of AcNdSm2Dy2, from the Alexandria database.

Calculated values
The space group is Pnnm. The formation energy is 0.295 eV/atom.

a = 6.7138 Å, b = 18.2849 Å, c = 3.4880 Å
α = 90.00°, β = 90.00°, γ = 90.00°
Closest atoms and distances in Å follow each position.
Element x y z (fractional)
Ac1 0.0000 0.0000 0.0000  2 Sm 3.43, 2 Ac 3.49, 2 Dy 3.66, 4 Nd 3.78
Ac2 0.5000 0.5000 0.5000  2 Sm 3.43, 2 Ac 3.49, 2 Dy 3.66, 4 Nd 3.78
Nd1 0.0000 0.5000 0.0000  2 Nd 3.49, 4 Sm 3.57, 4 Ac 3.78
Nd2 0.5000 0.0000 0.5000  2 Nd 3.49, 4 Sm 3.57, 4 Ac 3.78
Sm1 0.2047 0.3469 0.5000  4 Dy 3.37-3.44, 1 Ac 3.43, 2 Sm 3.49, 2 Nd 3.57
Sm2 0.2953 0.8469 0.0000  4 Dy 3.37-3.44, 1 Ac 3.43, 2 Sm 3.49, 2 Nd 3.57
Sm3 0.7047 0.1531 0.0000  4 Dy 3.37-3.44, 1 Ac 3.43, 2 Sm 3.49, 2 Nd 3.57
Sm4 0.7953 0.6531 0.5000  4 Dy 3.37-3.44, 1 Ac 3.43, 2 Sm 3.49, 2 Nd 3.57
Dy1 0.2098 0.1850 0.0000  4 Sm 3.37-3.44, 2 Dy 3.49, 1 Ac 3.66
Dy2 0.2902 0.6850 0.5000  4 Sm 3.37-3.44, 2 Dy 3.49, 1 Ac 3.66
Dy3 0.7098 0.3150 0.5000  4 Sm 3.37-3.44, 2 Dy 3.49, 1 Ac 3.66
Dy4 0.7902 0.8150 0.0000  4 Sm 3.37-3.44, 2 Dy 3.49, 1 Ac 3.66

The following is a PBE calculation of a relaxed structure of TaFeW4, from the Alexandria database.

Calculated values
The space group is F-43m. The formation energy is 0.402 eV/atom.

a = 5.2602 Å, b = 5.2602 Å, c = 5.2602 Å
α = 60.00°, β = 60.00°, γ = 60.00°
Closest atoms and distances in Å follow each position.
Element x y z (fractional)
Ta1 0.0000 0.0000 0.0000  12 W 3.09, 4 Fe 3.22
Fe1 0.7500 0.7500 0.7500  12 W 3.08, 4 Ta 3.22
W1 0.3755 0.3755 0.3755  6 W 2.62-2.64
W2 0.3755 0.3755 0.8736  6 W 2.62-2.64
W3 0.3755 0.8736 0.3755  6 W 2.62-2.64
W4 0.8736 0.3755 0.3755  6 W 2.62-2.64

The following is a PBE calculation of a relaxed structure of K4CoHg, from the Alexandria database.

Calculated values
The space group is F-43m. The formation energy is 0.722 eV/atom.

a = 7.5465 Å, b = 7.5465 Å, c = 7.5465 Å
α = 60.00°, β = 60.00°, γ = 60.00°
Closest atoms and distances in Å follow each position.
Element x y z (fractional)
K1 0.1245 0.1245 0.1245  6 K 3.76-3.79
K2 0.1245 0.1245 0.6264  6 K 3.76-3.79
K3 0.1245 0.6264 0.1245  6 K 3.76-3.79
K4 0.6264 0.1245 0.1245  6 K 3.76-3.79
Co1 0.7500 0.7500 0.7500  12 K 4.42, 4 Hg 4.62
Hg1 0.5000 0.5000 0.5000  12 K 4.43, 4 Co 4.62

The following is a PBE calculation of a relaxed structure of Mg9Si5, from the Alexandria database.

Calculated values
For the excess energy over the best structure of this formula in the dataset, the calculation gives 4.7 kJ per mole of atoms. The space group is P1. For the uncorrected formation energy, the calculation gives -0.0651 eV/atom.

a = 7.1401 Å, b = 7.1743 Å, c = 12.7180 Å
α = 86.59°, β = 89.05°, γ = 60.55°
Closest atoms and distances in Å follow each position.
Element x y z (fractional)
Mg1 0.0000 0.0000 0.0000  5 Si 2.79-3.08
Mg2 0.0007 0.0527 0.6885  5 Si 2.82-3.07
Mg3 0.1432 0.2928 0.8671  4 Si 2.62-2.74, 1 Mg 2.86
Mg4 0.1533 0.2689 0.4801  4 Si 2.67-2.86
Mg5 0.1571 0.2497 0.1614  4 Si 2.67-2.79
Mg6 0.3637 0.6926 0.4685  4 Si 2.66-2.96
Mg7 0.3974 0.7373 0.1689  4 Si 2.65-2.77
Mg8 0.4089 0.7622 0.8420  4 Si 2.72-2.76, 1 Mg 3.03
Mg9 0.4304 0.4001 0.0078  4 Si 2.77-2.96
Mg10 0.4892 0.3137 0.3310  4 Si 2.70-2.84
Mg11 0.4979 0.4360 0.6805  4 Si 2.68-2.83
Mg12 0.6431 0.0344 0.8338  4 Si 2.71-2.88
Mg13 0.6740 0.9783 0.1673  4 Si 2.67-2.77
Mg14 0.7228 0.9094 0.4867  4 Si 2.76-2.97
Mg15 0.7629 0.5496 0.3312  4 Si 2.65-2.87
Mg16 0.7969 0.6163 0.0045  5 Si 2.77-3.01, 1 Mg 3.04
Mg17 0.8791 0.5619 0.6943  4 Si 2.69-2.97, 1 Mg 2.86
Mg18 0.9894 0.0471 0.3308  4 Si 2.68-2.80
Si1 0.0563 0.7101 0.8423  7 Mg 2.71-3.01
Si2 0.0758 0.6561 0.1502  1 Si 2.51, 3 Mg 2.65-2.67
Si3 0.0810 0.6361 0.3480  1 Si 2.51, 4 Mg 2.65-2.75
Si4 0.3030 0.1989 0.6776  1 Si 2.38, 1 Mg 2.63
Si5 0.4121 0.9749 0.3273  9 Mg 2.75-2.87
Si6 0.4130 0.9989 0.0036  7 Mg 2.62-2.77
Si7 0.4719 0.8355 0.6320  1 Si 2.38, 1 Mg 2.66
Si8 0.7420 0.3247 0.1660  8 Mg 2.74-3.00
Si9 0.7422 0.3504 0.8622  8 Mg 2.69-2.97
Si10 0.7593 0.2733 0.5027  8 Mg 2.77-2.96

no.,density of states at the Fermi level (states/eV/f.u.),total magnetic moment (μB per atom)
1,3.053,0.00
2,3.236,0.52
3,10.994,0.00
4,4.624,0.71
5,9.994,0.32
6,0.946,0.00